Compound: YTl3As2O6
Source: Alexandria
Functional: PBE-GGA
Structure: relaxed

a = 6.0201 Å, b = 6.0201 Å, c = 7.3594 Å
α = 90.00°, β = 90.00°, γ = 120.00°
Last column: nearest neighbours and their distance in Å.
Positions (direct):
Y1 0.0000 0.0000 0.5000  6 O 2.28
Tl1 0.3333 0.6667 0.6788  9 O 3.01-3.07
Tl2 0.6667 0.3333 0.3212  9 O 3.01-3.07
Tl3 0.0000 0.0000 0.0000  6 O 3.02
As1 0.6667 0.3333 0.7888  3 O 1.80
As2 0.3333 0.6667 0.2112  3 O 1.80
O1 0.6407 0.8204 0.3225  1 As 1.80
O2 0.1796 0.3593 0.3225  1 As 1.80
O3 0.1796 0.8204 0.3225  1 As 1.80
O4 0.8204 0.6407 0.6775  1 As 1.80
O5 0.3593 0.1796 0.6775  1 As 1.80
O6 0.8204 0.1796 0.6775  1 As 1.80

ρ ... 6.814 Mg/m³
Uncorrected formation energy ... -1556 meV per atom
Magnetization ... 0.000 μB per atom
V ... 231.0 Å³/f.u.